(1)
Entry from the Open Quantum Materials Database: Li2AlZnPd2Pt2 after structural relaxation (PBE).

For the final energy, the calculation gives -4.67 eV/atom. For the magnetization, the calculation gives 0.0 μB/f.u.

It has space group P-4m2 (No. 115), with a = 4.258 Å, b = 4.258 Å, c = 6.031 Å, α = 90.00°, β = 90.00° and γ = 90.00°. The distinct sites, in fractional coordinates, are Li at (0.000, 0.000, 0.000), Li at (0.500, 0.500, 0.500), Al at (0.000, 0.000, 0.500), Zn at (0.500, 0.500, 0.000), Pd at (0.000, 0.500, 0.253) and Pt at (0.000, 0.500, 0.744).


(2)
Entry from the Open Quantum Materials Database: Li2ZrAl2PdPt2 after structural relaxation (PBE).

For the final energy, the calculation gives -5.34 eV/atom. For the magnetization, the calculation gives 0.0 μB/f.u.

It has space group P-4m2 (No. 115), with a = 4.366 Å, b = 4.366 Å, c = 6.253 Å, α = 90.00°, β = 90.00° and γ = 90.00°. The distinct sites, in fractional coordinates, are Li at (0.000, 0.500, 0.230), Zr at (0.000, 0.000, 0.500), Al at (0.000, 0.500, 0.782), Pd at (0.500, 0.500, 0.000), Pt at (0.000, 0.000, 0.000) and Pt at (0.500, 0.500, 0.500).